InAu4 | SCAN | single point on PBEsol structure

Formation enthalpy at 0 K: -0.87 kcal/mol of atoms
Calculated total energy: -62.041 eV/atom
Symmetry: No. 139

```
InAu4
1.0
3.8012 0.0000 0.0000
0.0000 3.8012 0.0000
-1.9006 -1.9006 6.8610
Au In
4 1
direct
0.7500 0.2500 0.5000 Au
0.2500 0.7500 0.5000 Au
0.5973 0.5973 0.1946 Au
0.4027 0.4027 0.8054 Au
0.0000 0.0000 0.0000 In
```